Below is a relaxed structure of TiCo3O, with properties calculated at the PBE+U level.

Calculated values
E: -19.66 eV for the cell shown
spin magnetization: 3.07 Bohr magnetons per cell
energy above the most stable polymorph in this dataset: 7.205 eV per formula unit

a = 4.2863 Å, b = 4.2863 Å, c = 4.2863 Å
α = 90.00°, β = 90.00°, γ = 90.00°
With the nearest neighbours (Å) after each atom.
Sites, in units of the cell vectors:
Co 0.0000 0.5000 0.0000  2 Ti 2.14
Co 0.0000 0.0000 0.5000  2 Ti 2.14
Co 0.5000 0.0000 0.0000  2 Ti 2.14
Ti 0.0000 0.0000 0.0000  6 Co 2.14
O 0.5000 0.5000 0.5000  12 Co 3.03